Density functional theory data (PBE) for crystalline Pa4GeSe4 at its relaxed geometry.

The energy relative to the elements, uncorrected is -1.1266 eV per atom.

It has space group C2/m (No. 12), with a = 13.4509 Å, b = 4.0488 Å, c = 10.0280 Å, α = 90.00°, β = 120.36° and γ = 90.00°. Symmetry generates all atoms from Pa at (0.1048, 0.0000, 0.4065), Pa at (0.2017, 0.5000, 0.7991), Ge at (0.0000, 0.5000, 0.5000), Se at (0.0973, 0.0000, 0.8978) and Se at (0.1854, 0.5000, 0.2795).